Ba2SiTc PBE relaxed; DOS(E_F) = 10.0 states/eV per cell; energy relative to the elements, uncorrected = 6.07 kcal/mol of atoms; space group = I-42d, No. 122; uncorrected energy = -18.58 eV per formula unit
1.0
-1.005 -10.432 5.180
11.495 -1.725 -1.243
5.624 -5.070 4.073
Si Ba Tc
2 4 2
Cartesian
5.245 -6.078 1.968
11.182 -6.436 2.399
2.013 -10.096 5.140
7.662 -11.988 5.029
5.845 -8.015 4.780
4.209 -13.061 7.493
0.000 0.000 0.000
4.932 -10.790 5.610